# 1
Density functional theory data (PBE) for a geometry-optimized Tb2Er13 structure.

Properties
- relative energy among the computed polymorphs (meV/atom) = 0.0
- symmetry = P-1, No. 2

Lattice parameters (Å, degrees): 6.5164 8.6243 8.8769 69.16 84.19 80.80
With the nearest neighbours (Å) after each atom.
Sites, in units of the cell vectors:
Tb (0.1989, 0.3043, 0.3976)  7 Er 3.13-3.50
Tb (0.8011, 0.6957, 0.6024)  7 Er 3.13-3.50
Er (0.0000, 0.5000, 0.0000)  12 Er 3.49-3.82, 2 Tb 3.60
Er (0.0959, 0.9255, 0.6921)  8 Er 3.29-3.49, 2 Tb 3.30-3.50
Er (0.1343, 0.6963, 0.2666)  2 Tb 3.13-3.50, 5 Er 3.30-3.49
Er (0.2376, 0.0754, 0.9753)  10 Er 3.30-3.49
Er (0.3339, 0.4992, 0.6675)  11 Er 3.49-3.83, 3 Tb 3.62
Er (0.4292, 0.9236, 0.3589)  8 Er 3.30-3.50, 2 Tb 3.30-3.50
Er (0.4665, 0.6967, 0.9343)  6 Er 3.14-3.50, 1 Tb 3.49
Er (0.5335, 0.3033, 0.0657)  6 Er 3.14-3.50, 1 Tb 3.49
Er (0.5708, 0.0764, 0.6411)  8 Er 3.30-3.50, 2 Tb 3.30-3.50
Er (0.6661, 0.5008, 0.3325)  11 Er 3.49-3.83, 3 Tb 3.62
Er (0.7624, 0.9246, 0.0247)  10 Er 3.30-3.49
Er (0.8657, 0.3037, 0.7334)  2 Tb 3.13-3.50, 5 Er 3.30-3.49
Er (0.9041, 0.0745, 0.3079)  8 Er 3.29-3.49, 2 Tb 3.30-3.50



# 2
Density functional theory data (PBE) for a geometry-optimized Tb2ErTc structure.

Properties
- relative energy among the computed polymorphs (meV/atom) = 0.0
- symmetry = Pnma, No. 62

Lattice parameters (Å, degrees): 7.4015 9.2137 6.2508 90.00 90.00 90.00
With the nearest neighbours (Å) after each atom.
Sites, in units of the cell vectors:
Tb (0.1772, 0.0633, 0.1607)  3 Tc 2.85-3.18
Tb (0.1772, 0.4367, 0.1607)  3 Tc 2.85-3.18
Tb (0.3228, 0.5633, 0.6607)  3 Tc 2.85-3.18
Tb (0.3228, 0.9367, 0.6607)  3 Tc 2.85-3.18
Tb (0.6772, 0.0633, 0.3393)  3 Tc 2.85-3.18
Tb (0.6772, 0.4367, 0.3393)  3 Tc 2.85-3.18
Tb (0.8228, 0.5633, 0.8393)  3 Tc 2.85-3.18
Tb (0.8228, 0.9367, 0.8393)  3 Tc 2.85-3.18
Er (0.0433, 0.2500, 0.6306)  2 Tc 2.76-2.81
Er (0.4567, 0.7500, 0.1306)  2 Tc 2.76-2.81
Er (0.5433, 0.2500, 0.8694)  2 Tc 2.76-2.81
Er (0.9567, 0.7500, 0.3694)  2 Tc 2.76-2.81
Tc (0.1128, 0.7500, 0.9602)  2 Er 2.76-2.81, 4 Tb 2.85-2.98
Tc (0.3872, 0.2500, 0.4602)  2 Er 2.76-2.81, 4 Tb 2.85-2.98
Tc (0.6128, 0.7500, 0.5398)  2 Er 2.76-2.81, 4 Tb 2.85-2.98
Tc (0.8872, 0.2500, 0.0398)  2 Er 2.76-2.81, 4 Tb 2.85-2.98



# 3
Density functional theory data (PBE) for a geometry-optimized TbEr4Tc2 structure.

Properties
- symmetry = P2_1/m, No. 11

Lattice parameters (Å, degrees): 7.7571 6.2564 7.8745 90.00 111.91 90.00
With the nearest neighbours (Å) after each atom.
Sites, in units of the cell vectors:
Tb (0.0255, 0.2500, 0.1574)  4 Tc 2.93-3.28
Tb (0.9745, 0.7500, 0.8426)  4 Tc 2.93-3.28
Er (0.2396, 0.5009, 0.5828)  4 Tc 2.90-3.13, 2 Er 3.12-3.14
Er (0.2396, 0.9991, 0.5828)  4 Tc 2.90-3.13, 2 Er 3.12-3.14
Er (0.3251, 0.7500, 0.2512)  2 Tc 2.77-2.82
Er (0.3882, 0.2500, 0.0255)  2 Tc 2.72-2.78
Er (0.6118, 0.7500, 0.9745)  2 Tc 2.72-2.78
Er (0.6749, 0.2500, 0.7488)  2 Tc 2.77-2.82
Er (0.7604, 0.0009, 0.4172)  4 Tc 2.90-3.13, 2 Er 3.12-3.14
Er (0.7604, 0.4991, 0.4172)  4 Tc 2.90-3.13, 2 Er 3.12-3.14
Tc (0.0342, 0.2500, 0.7538)  4 Er 2.77-2.90
Tc (0.4227, 0.2500, 0.3823)  6 Er 2.72-2.97, 1 Tb 2.93
Tc (0.5773, 0.7500, 0.6177)  6 Er 2.72-2.97, 1 Tb 2.93
Tc (0.9658, 0.7500, 0.2462)  4 Er 2.77-2.90



# 4
Density functional theory data (PBE) for a geometry-optimized TbEr2Tc structure.

Properties
- relative energy among the computed polymorphs (meV/atom) = 115.4
- symmetry = P4/mmm, No. 123

Lattice parameters (Å, degrees): 3.4329 3.4329 8.8398 90.00 90.00 90.00
With the nearest neighbours (Å) after each atom.
Sites, in units of the cell vectors:
Tb (0.0000, 0.0000, 0.0000)  4 Tb 3.43, 8 Er 3.70
Er (0.5000, 0.5000, 0.3156)  4 Tc 2.92, 1 Er 3.26
Er (0.5000, 0.5000, 0.6844)  4 Tc 2.92, 1 Er 3.26
Tc (0.0000, 0.0000, 0.5000)  8 Er 2.92



# 5
Density functional theory data (PBE) for a geometry-optimized TbEr2Tc structure.

Properties
- relative energy among the computed polymorphs (meV/atom) = 0.0
- symmetry = Pnma, No. 62

Lattice parameters (Å, degrees): 7.4444 9.0697 6.2173 90.00 90.00 90.00
With the nearest neighbours (Å) after each atom.
Sites, in units of the cell vectors:
Tb (0.0414, 0.2500, 0.1263)  2 Tc 2.76-2.85
Tb (0.4586, 0.7500, 0.6263)  2 Tc 2.76-2.85
Tb (0.5414, 0.2500, 0.3737)  2 Tc 2.76-2.85
Tb (0.9586, 0.7500, 0.8737)  2 Tc 2.76-2.85
Er (0.1759, 0.0635, 0.6559)  3 Tc 2.84-3.14
Er (0.1759, 0.4365, 0.6559)  3 Tc 2.84-3.14
Er (0.3241, 0.5635, 0.1559)  3 Tc 2.84-3.14
Er (0.3241, 0.9365, 0.1559)  3 Tc 2.84-3.14
Er (0.6759, 0.0635, 0.8441)  3 Tc 2.84-3.14
Er (0.6759, 0.4365, 0.8441)  3 Tc 2.84-3.14
Er (0.8241, 0.5635, 0.3441)  3 Tc 2.84-3.14
Er (0.8241, 0.9365, 0.3441)  3 Tc 2.84-3.14
Tc (0.1160, 0.7500, 0.4556)  2 Tb 2.76-2.85, 4 Er 2.84-2.96
Tc (0.3840, 0.2500, 0.9556)  2 Tb 2.76-2.85, 4 Er 2.84-2.96
Tc (0.6160, 0.7500, 0.0444)  2 Tb 2.76-2.85, 4 Er 2.84-2.96
Tc (0.8840, 0.2500, 0.5444)  2 Tb 2.76-2.85, 4 Er 2.84-2.96



# 6
Density functional theory data (PBE) for a geometry-optimized Tb2ErTc structure.

Properties
- relative energy among the computed polymorphs (meV/atom) = 393.9
- symmetry = R-3m, No. 166

Lattice parameters (Å, degrees): 11.0691 11.0691 11.0691 17.75 17.75 17.75
With the nearest neighbours (Å) after each atom.
Sites, in units of the cell vectors:
Tb (0.1042, 0.1042, 0.1042)  3 Tc 2.84
Tb (0.8958, 0.8958, 0.8958)  3 Tc 2.84
Er (0.0000, 0.0000, 0.0000)  2 Tb 3.41, 6 Er 3.42
Tc (0.5000, 0.5000, 0.5000)  6 Tb 2.84



# 7
Density functional theory data (PBE) for a geometry-optimized TbEr3Tc structure.

Properties
- relative energy among the computed polymorphs (meV/atom) = 74.5
- symmetry = Pmmn, No. 59

Lattice parameters (Å, degrees): 3.5495 10.4965 7.7266 90.00 90.00 90.00
With the nearest neighbours (Å) after each atom.
Sites, in units of the cell vectors:
Tb (0.2500, 0.2500, 0.9999)  1 Tc 2.62
Tb (0.7500, 0.7500, 0.0001)  1 Tc 2.62
Er (0.2500, 0.5388, 0.2793)  2 Tc 2.88
Er (0.2500, 0.7500, 0.6231)  2 Tc 2.82
Er (0.2500, 0.9612, 0.2793)  2 Tc 2.88
Er (0.7500, 0.0388, 0.7207)  2 Tc 2.88
Er (0.7500, 0.2500, 0.3769)  2 Tc 2.82
Er (0.7500, 0.4612, 0.7207)  2 Tc 2.88
Tc (0.2500, 0.2500, 0.6603)  1 Tb 2.62, 6 Er 2.82-2.88
Tc (0.7500, 0.7500, 0.3397)  1 Tb 2.62, 6 Er 2.82-2.88



# 8
Density functional theory data (PBE) for a geometry-optimized TbErTc4 structure.

Properties
- symmetry = F-43m, No. 216

Lattice parameters (Å, degrees): 5.3996 5.3996 5.3996 60.00 60.00 60.00
With the nearest neighbours (Å) after each atom.
Sites, in units of the cell vectors:
Tb (0.0000, 0.0000, 0.0000)  12 Tc 3.17, 4 Er 3.31
Er (0.2500, 0.2500, 0.2500)  12 Tc 3.17, 4 Tb 3.31
Tc (0.1251, 0.6250, 0.6250)  6 Tc 2.70
Tc (0.6250, 0.1251, 0.6250)  6 Tc 2.70
Tc (0.6250, 0.6250, 0.1251)  6 Tc 2.70
Tc (0.6250, 0.6250, 0.6250)  6 Tc 2.70



| no. | final energy (eV/atom) | E_form (meV/atom) |
| --- | --- | --- |
| 1 | -4.520 | 52 |
| 2 | -6.146 | -99 |
| 3 | -6.285 | -55 |
| 4 | -6.036 | -5 |
| 5 | -6.151 | -121 |
| 6 | -5.752 | 295 |
| 7 | -5.696 | 41 |
| 8 | -8.592 | -150 |